First-principles (PBE) data for a relaxed structure of Cs2SrCu, as listed in Alexandria via LeMat-Bulk.

a b c (Å): 9.925 9.925 9.925
angles (deg): 90.00 90.00 90.00
Sites, in units of the cell vectors:
Cs 0.250 0.250 0.250
Cs 0.250 0.250 0.750
Cs 0.250 0.750 0.250
Cs 0.250 0.750 0.750
Cs 0.750 0.250 0.250
Cs 0.750 0.250 0.750
Cs 0.750 0.750 0.250
Cs 0.750 0.750 0.750
Sr 0.000 0.000 0.000
Sr 0.000 0.500 0.500
Sr 0.500 0.000 0.500
Sr 0.500 0.500 0.000
Cu 0.000 0.000 0.500
Cu 0.000 0.500 0.000
Cu 0.500 0.000 0.000
Cu 0.500 0.500 0.500

Results
DFT total energy	-1.3328	eV per atom
energy above the lowest structure with this stoichiometry	216.9	meV per atom
DOS at the Fermi energy	15.2	states/eV/cell

First-principles (PBE) data for a relaxed structure of Ce2TcMo, as listed in Alexandria via LeMat-Bulk.

a b c (Å): 4.898 4.898 3.469
angles (deg): 90.00 90.00 90.00
Sites, in units of the cell vectors:
Ce 0.000 0.500 0.000
Ce 0.500 0.000 0.000
Tc 0.000 0.000 0.500
Mo 0.500 0.500 0.500

Results
DFT total energy	-8.0356	eV per atom
DOS at the Fermi energy	7.1	states/eV/cell

Which value of DFT total energy does entry 2 give? -8.0356 eV per atom

What did the first record say?
First-principles (PBE) data for a relaxed structure of Cs2SrCu, as listed in Alexandria via LeMat-Bulk.

a b c (Å): 9.925 9.925 9.925
angles (deg): 90.00 90.00 90.00
Sites, in units of the cell vectors:
Cs 0.250 0.250 0.250
Cs 0.250 0.250 0.750
Cs 0.250 0.750 0.250
Cs 0.250 0.750 0.750
Cs 0.750 0.250 0.250
Cs 0.750 0.250 0.750
Cs 0.750 0.750 0.250
Cs 0.750 0.750 0.750
Sr 0.000 0.000 0.000
Sr 0.000 0.500 0.500
Sr 0.500 0.000 0.500
Sr 0.500 0.500 0.000
Cu 0.000 0.000 0.500
Cu 0.000 0.500 0.000
Cu 0.500 0.000 0.000
Cu 0.500 0.500 0.500

Results
DFT total energy	-1.3328	eV per atom
energy above the lowest structure with this stoichiometry	216.9	meV per atom
DOS at the Fermi energy	15.2	states/eV/cell

Repeat the first record exactly.
First-principles (PBE) data for a relaxed structure of Cs2SrCu, as listed in Alexandria via LeMat-Bulk.

a b c (Å): 9.925 9.925 9.925
angles (deg): 90.00 90.00 90.00
Sites, in units of the cell vectors:
Cs 0.250 0.250 0.250
Cs 0.250 0.250 0.750
Cs 0.250 0.750 0.250
Cs 0.250 0.750 0.750
Cs 0.750 0.250 0.250
Cs 0.750 0.250 0.750
Cs 0.750 0.750 0.250
Cs 0.750 0.750 0.750
Sr 0.000 0.000 0.000
Sr 0.000 0.500 0.500
Sr 0.500 0.000 0.500
Sr 0.500 0.500 0.000
Cu 0.000 0.000 0.500
Cu 0.000 0.500 0.000
Cu 0.500 0.000 0.000
Cu 0.500 0.500 0.500

Results
DFT total energy	-1.3328	eV per atom
energy above the lowest structure with this stoichiometry	216.9	meV per atom
DOS at the Fermi energy	15.2	states/eV/cell

What is the formula in the first record? Cs2SrCu